(1)
## AgP2Cl (PBE)

Data for a relaxed AgP2Cl crystal.

```
16
Lattice="7.274 0.000 0.000 0.000 9.275 0.000 0.000 0.000 6.986" Properties=species:S:1:pos:R:3 pbc="T T T"
P 5.051 1.096 0.922
P 5.859 1.096 6.064
P 2.223 3.541 0.922
P 1.414 3.541 6.064
P 2.223 8.179 6.064
P 1.414 8.179 0.922
P 5.051 5.734 6.064
P 5.860 5.734 0.922
Ag 0.000 2.319 0.878
Ag 3.637 2.319 6.107
Ag 0.000 6.956 6.107
Ag 3.637 6.956 0.878
Cl 0.000 2.319 3.271
Cl 3.637 2.319 3.715
Cl 0.000 6.956 3.715
Cl 3.637 6.956 3.271
```

energy above the lowest structure with this stoichiometry = 270 meV per atom
uncorrected formation energy = 0.61 eV/f.u.
symmetry = Pcca, No. 54

***

(2)
## MgCuIr2Br (PBE)

Data for a relaxed MgCuIr2Br crystal.

```
5
Lattice="-0.648 4.260 -1.918 -4.499 -1.319 -1.409 -1.743 1.576 4.089" Properties=species:S:1:pos:R:3 pbc="T T T"
Mg 0.000 0.000 0.000
Ir -0.871 0.788 2.045
Ir -0.324 2.130 -0.959
Cu -3.445 2.258 0.381
Br -2.250 -0.660 -0.705
```

density of states at the Fermi level = 7.676 states/eV per cell
uncorrected formation energy = 8.23 eV/f.u.
symmetry = P4/mmm, No. 123

***

(3)
## Ag5Sn3Hg12 (PBE)

Data for a relaxed Ag5Sn3Hg12 crystal.

```
80
Lattice="-11.009 -6.617 -6.944 12.317 -7.559 -2.089 -2.947 0.652 14.286" Properties=species:S:1:pos:R:3 pbc="T T T"
Sn -4.006 -7.716 -4.205
Sn -0.763 -11.378 -5.857
Sn 3.267 -7.743 4.758
Sn -2.318 -2.355 3.360
Sn -8.830 -6.572 -2.765
Sn 2.833 -7.043 -0.338
Sn -4.472 -6.482 5.591
Sn 7.191 -6.952 8.019
Sn 0.679 -11.170 1.893
Sn -4.906 -5.781 0.495
Sn -0.876 -2.147 11.110
Sn 2.367 -5.808 9.459
Ag 2.506 -3.499 1.920
Ag 6.158 -3.779 -1.044
Ag 0.000 0.000 0.000
Ag -1.417 -4.290 -1.340
Ag -6.978 -2.983 3.671
Ag 0.654 -7.088 -4.516
Ag 6.756 -6.252 2.923
Ag -9.296 -5.338 7.031
Ag -1.664 -9.443 -1.156
Ag -4.799 -2.938 7.849
Ag 3.160 -10.587 -2.596
Ag -0.820 -6.762 2.627
Ag -5.504 -3.309 -3.472
Ag -1.474 0.326 7.143
Ag 0.025 -4.082 6.409
Ag 7.656 -8.187 -1.778
Ag 4.685 -3.454 6.098
Ag -8.395 -7.273 2.331
Ag -0.222 -9.235 6.594
Ag -4.145 -10.026 3.333
Hg -6.606 -5.735 -4.512
Hg 1.963 -6.102 2.684
Hg -6.601 -8.887 -3.435
Hg -3.699 -5.314 -2.521
Hg 0.372 -9.030 3.900
Hg -3.863 -10.449 -5.304
Hg 4.718 -7.759 1.814
Hg 9.929 -7.188 -0.557
Hg 3.363 -10.475 3.650
Hg -1.118 -9.236 -3.860
Hg -4.141 -8.226 -0.966
Hg 2.152 -12.472 -6.895
Hg 5.918 -5.974 5.544
Hg 0.885 -5.646 -2.056
Hg 9.243 -7.442 2.692
Hg -4.520 -3.235 5.113
Hg 0.334 -1.807 2.193
Hg 3.169 -7.962 -3.471
Hg 1.153 -12.110 -3.738
Hg 3.318 -3.817 -0.705
Hg 5.241 -9.099 6.480
Hg 0.260 -8.257 0.439
Hg -1.657 -12.052 -0.238
Hg -7.108 -7.015 6.802
Hg -1.899 -5.268 4.814
Hg 0.018 -1.472 5.491
Hg 5.469 -6.509 -1.549
Hg -2.792 -1.414 8.991
Hg -6.880 -4.426 -1.226
Hg -4.957 -9.707 5.958
Hg -4.808 -5.562 8.724
Hg 2.881 -10.290 0.140
Hg -1.974 -11.718 3.061
Hg -10.882 -6.082 2.561
Hg -7.557 -7.550 -0.291
Hg -3.791 -1.052 12.148
Hg -2.524 -7.878 7.309
Hg -5.002 -3.050 1.603
Hg -0.522 -4.288 9.113
Hg 2.502 -5.298 6.219
Hg -11.568 -6.336 5.810
Hg -6.357 -5.766 3.439
Hg 2.060 -8.210 7.775
Hg 2.224 -3.075 10.557
Hg -2.011 -4.494 1.354
Hg 4.962 -4.637 8.688
Hg -3.602 -7.423 2.569
Hg 4.966 -7.789 9.765
```

energy of formation from the pure elements = 0.24 eV/atom
density of states at the Fermi level = 44.124 states/eV per cell
symmetry = Ia-3d, No. 230

***

(4)
## NaMo2CN (PBE)

Data for a relaxed NaMo2CN crystal.

```
5
Lattice="4.587 0.000 0.000 0.000 3.607 0.000 0.000 0.000 4.587" Properties=species:S:1:pos:R:3 pbc="T T T"
Na 0.000 0.000 0.000
Mo 0.000 0.000 2.294
Mo 2.294 0.000 0.000
C 2.294 1.804 2.294
N 0.000 1.804 0.000
```

density of states at the Fermi level = 4.461 states/eV per cell
uncorrected formation energy = 17.86 eV/f.u.
symmetry = P4/mmm, No. 123